1.
Compound: ZnPtNO2
Source: Alexandria
Functional: GGA-PBE
Structure: relaxed

Geometry as POSCAR:
```
ZnPtNO2
1.0
4.169 0.000 0.000
0.000 4.169 0.000
0.000 0.000 3.666
Zn O Pt N
1 2 1 1
direct
0.500 0.500 0.500
0.000 0.500 0.000
0.500 0.000 0.000
0.000 0.000 0.000
0.000 0.000 0.500
```

Properties
For the total magnetic moment, the calculation gives 0.00 μB per cell. Its total energy is -0.1701 hartree per atom. Its formation energy from raw total energies is 0.482 eV/atom.

---

2.
Compound: Pu3NO2
Source: Alexandria
Functional: GGA-PBE
Structure: relaxed

Geometry as POSCAR:
```
Pu3NO2
1.0
4.958 -0.008 0.000
0.011 7.004 0.000
0.000 0.000 10.523
Pu N O
12 4 8
direct
0.250 0.623 0.582
0.250 0.123 0.918
0.250 0.628 0.919
0.250 0.128 0.581
0.250 0.625 0.250
0.250 0.125 0.250
0.750 0.875 0.750
0.750 0.375 0.750
0.750 0.872 0.419
0.750 0.372 0.081
0.750 0.877 0.082
0.750 0.377 0.418
0.250 0.874 0.081
0.250 0.374 0.419
0.750 0.626 0.581
0.750 0.126 0.919
0.250 0.875 0.754
0.250 0.375 0.746
0.250 0.875 0.416
0.250 0.375 0.084
0.750 0.625 0.916
0.750 0.125 0.584
0.750 0.625 0.254
0.750 0.125 0.246
```

Properties
For the total magnetic moment, the calculation gives 63.26 μB per cell. Its total energy is -0.4509 hartree per atom. Its formation energy from raw total energies is -2.064 eV/atom.

---

3.
Compound: PuNO
Source: Alexandria
Functional: GGA-PBE
Structure: relaxed

Geometry as POSCAR:
```
PuNO
1.0
3.744 0.000 0.000
1.872 3.243 0.000
1.872 1.081 3.057
N O Pu
1 1 1
direct
0.500 0.500 0.500
0.000 0.000 0.000
0.250 0.250 0.250
```

Properties
For the total magnetic moment, the calculation gives 3.00 μB per cell. Its total energy is -0.4085 hartree per atom. Its formation energy from raw total energies is -1.912 eV/atom. The value obtained for the distance to the lowest polymorph of the same formula is 27 meV/atom.